Here is a relaxed MgSc6Ru5 crystal from Alexandria via LeMat-Bulk. Energies are from PBE-GGA.

## Properties
E_form = -0.51 eV/atom
total magnetization = 0.0 μB/f.u.
raw total energy = -7.67 eV/atom

Cell and atoms, written as CIF:
```
data_MgSc6Ru5
_symmetry_space_group_name_H-M 'I m m m'
_symmetry_Int_Tables_number 71
_symmetry_space_group_name_Hall '-I 2 2'
_cell_length_a 4.610
_cell_length_b 6.574
_cell_length_c 13.671
_cell_angle_alpha 90.00
_cell_angle_beta 90.00
_cell_angle_gamma 90.00
loop_
_atom_site_label
_atom_site_type_symbol
_atom_site_fract_x
_atom_site_fract_y
_atom_site_fract_z
Mg1 Mg 0.000 0.000 0.000
Sc1 Sc 0.000 0.229 0.500
Sc2 Sc 0.000 0.261 0.174
Ru1 Ru 0.000 0.000 0.333
Ru2 Ru 0.000 0.500 0.000
Ru3 Ru 0.000 0.500 0.340
```



Here is a relaxed Ca3Pm3Te8Pb crystal from Alexandria via LeMat-Bulk. Energies are from PBE-GGA.

## Properties
total magnetization = 0.0 μB/f.u.
raw total energy = -4.63 eV/atom

Cell and atoms, written as CIF:
```
data_Ca3Pm3Te8Pb
_symmetry_space_group_name_H-M 'R -3 m'
_symmetry_Int_Tables_number 166
_symmetry_space_group_name_Hall '-R 3 2"'
_cell_length_a 8.9844
_cell_length_b 8.9844
_cell_length_c 22.0416
_cell_angle_alpha 90.00
_cell_angle_beta 90.00
_cell_angle_gamma 120.00
loop_
_atom_site_label
_atom_site_type_symbol
_atom_site_fract_x
_atom_site_fract_y
_atom_site_fract_z
Ca1 Ca 0.0000 0.5000 0.0000
Pm1 Pm 0.0000 0.5000 0.5000
Te1 Te 0.0000 0.0000 0.2503
Te2 Te 0.0096 0.5048 0.7488
Pb1 Pb 0.0000 0.0000 0.5000
```



Here is a relaxed Ba2Mg4ZnIn3 crystal from Alexandria via LeMat-Bulk. Energies are from PBE-GGA.

## Properties
E_form = -0.23 eV/atom
total magnetization = 0.0 μB/f.u.
raw total energy = -2.20 eV/atom

Cell and atoms, written as CIF:
```
data_Ba2Mg4ZnIn3
_symmetry_space_group_name_H-M 'P -4 m 2'
_symmetry_Int_Tables_number 115
_cell_length_a 5.027
_cell_length_b 5.027
_cell_length_c 11.710
_cell_angle_alpha 90.00
_cell_angle_beta 90.00
_cell_angle_gamma 90.00
loop_
_symmetry_equiv_pos_as_xyz
'x,y,z'
'y,-x,-z'
'-x,-y,z'
'-y,x,-z'
'-x,y,z'
'-y,-x,-z'
'x,-y,z'
'y,x,-z'
loop_
_atom_site_label
_atom_site_type_symbol
_atom_site_fract_x
_atom_site_fract_y
_atom_site_fract_z
Ba1 Ba 0.000 0.500 0.245
Mg1 Mg 0.000 0.000 0.500
Mg2 Mg 0.000 0.500 0.881
Mg3 Mg 0.500 0.500 0.500
Zn1 Zn 0.500 0.500 0.000
In1 In 0.000 0.000 0.000
In2 In 0.000 0.500 0.636
```



Here is a relaxed GdMnRu2 crystal from Alexandria via LeMat-Bulk. Energies are from PBE-GGA.

## Properties
E_form = 0.03 eV/atom
total magnetization = 4.4 μB/f.u.
raw total energy = -10.42 eV/atom

Cell and atoms, written as CIF:
```
data_GdMnRu2
_symmetry_space_group_name_H-M 'P 4/m m m'
_symmetry_Int_Tables_number 123
_symmetry_space_group_name_Hall '-P 4 2'
_cell_length_a 3.152
_cell_length_b 3.152
_cell_length_c 6.724
_cell_angle_alpha 90.00
_cell_angle_beta 90.00
_cell_angle_gamma 90.00
loop_
_atom_site_label
_atom_site_type_symbol
_atom_site_fract_x
_atom_site_fract_y
_atom_site_fract_z
Gd1 Gd 0.000 0.000 0.000
Mn1 Mn 0.000 0.000 0.500
Ru1 Ru 0.500 0.500 0.296
```



Here is a relaxed Nd3DyHg2 crystal from Alexandria via LeMat-Bulk. Energies are from PBE-GGA.

## Properties
E_form = -0.07 eV/atom
total magnetization = 0.0 μB/f.u.
raw total energy = -3.33 eV/atom

Cell and atoms, written as CIF:
```
data_Nd3DyHg2
_symmetry_space_group_name_H-M 'I b a m'
_symmetry_Int_Tables_number 72
_symmetry_space_group_name_Hall '-I 2 2c'
_cell_length_a 7.308
_cell_length_b 14.897
_cell_length_c 7.620
_cell_angle_alpha 90.00
_cell_angle_beta 90.00
_cell_angle_gamma 90.00
loop_
_atom_site_label
_atom_site_type_symbol
_atom_site_fract_x
_atom_site_fract_y
_atom_site_fract_z
Nd1 Nd 0.000 0.000 0.250
Nd2 Nd 0.000 0.273 0.250
Dy1 Dy 0.000 0.500 0.000
Hg1 Hg 0.203 0.137 0.000
```



Here is a relaxed Ta2Hg2Te6Pd crystal from Alexandria via LeMat-Bulk. Energies are from PBE-GGA.

## Properties
total magnetization = 0.0 μB/f.u.
raw total energy = -4.59 eV/atom

Cell and atoms, written as CIF:
```
data_Ta2Hg2Te6Pd
_symmetry_space_group_name_H-M 'C 1 2/m 1'
_symmetry_Int_Tables_number 12
_cell_length_a 6.652
_cell_length_b 11.137
_cell_length_c 9.521
_cell_angle_alpha 90.00
_cell_angle_beta 108.03
_cell_angle_gamma 90.00
loop_
_symmetry_equiv_pos_as_xyz
'x,y,z'
'-x,-y,-z'
'-x,y,-z'
'x,-y,z'
'x+1/2,y+1/2,z'
'-x+1/2,-y+1/2,-z'
'-x+1/2,y+1/2,-z'
'x+1/2,-y+1/2,z'
loop_
_atom_site_label
_atom_site_type_symbol
_atom_site_fract_x
_atom_site_fract_y
_atom_site_fract_z
Ta1 Ta 0.000 0.202 0.000
Hg1 Hg 0.000 0.342 0.500
Te1 Te 0.223 0.160 0.792
Te2 Te 0.224 0.000 0.157
Pd1 Pd 0.000 0.500 0.000
```